Below is crystalline RbCe2Cl11 at its relaxed geometry, with properties calculated at the PBE level.

Structure (extended XYZ):
```
28
Lattice="-5.435 7.048 7.752 5.435 -7.048 7.752 5.435 7.048 -7.752" Properties=species:S:1:pos:R:3 pbc="T T T"
Rb 0.000 0.000 3.876
Rb 0.000 0.000 11.628
Ce 2.719 3.526 0.000
Ce 8.154 3.522 0.000
Ce -2.719 3.526 7.752
Ce 2.716 3.522 7.752
Cl 5.435 0.000 0.000
Cl 8.905 1.896 -1.814
Cl 1.960 1.904 -1.814
Cl 5.435 2.301 0.000
Cl 1.960 -1.904 5.938
Cl 3.469 5.153 -1.814
Cl 8.905 1.896 1.814
Cl 1.960 1.904 1.814
Cl 0.000 4.747 0.000
Cl 1.960 -1.904 9.566
Cl 3.469 5.153 1.814
Cl 0.000 7.048 0.000
Cl 1.966 1.896 5.938
Cl 3.475 8.952 -1.814
Cl 5.435 2.301 7.752
Cl 3.475 5.144 5.938
Cl -3.469 5.153 5.938
Cl 1.966 1.896 9.566
Cl 3.475 8.952 1.814
Cl 0.000 4.747 7.752
Cl 3.475 5.144 9.566
Cl -3.469 5.153 9.566
```

Summary:
formation energy (no corrections) = -1598 meV/atom
calculated total energy = -111.0 eV/cell
theoretical density = 2.11 g/cm3
SG = Ibam

Below is crystalline Rb2Ce2Cl7 at its relaxed geometry, with properties calculated at the PBE level.

Structure (extended XYZ):
```
11
Lattice="4.611 -5.306 0.000 4.611 5.306 0.000 0.000 0.000 7.655" Properties=species:S:1:pos:R:3 pbc="T T T"
Rb 2.196 0.000 0.000
Rb 7.026 0.000 0.000
Ce 4.611 2.348 3.828
Ce 4.611 -2.348 3.828
Cl 0.000 0.000 3.828
Cl 2.305 2.653 2.034
Cl 2.305 2.653 5.621
Cl 2.305 -2.653 2.034
Cl 2.305 -2.653 5.621
Cl 4.611 0.000 2.131
Cl 4.611 0.000 5.524
```

Summary:
formation energy (no corrections) = -2057 meV/atom
calculated total energy = -49.4 eV/cell
theoretical density = 3.10 g/cm3
SG = Cmmm

Below is crystalline Rb3CeCl8 at its relaxed geometry, with properties calculated at the PBE level.

Structure (extended XYZ):
```
12
Lattice="-4.149 4.149 6.089 4.149 -4.149 6.089 4.149 4.149 -6.089" Properties=species:S:1:pos:R:3 pbc="T T T"
Rb 0.000 0.000 0.000
Rb 4.149 0.000 3.045
Rb 0.000 4.149 3.045
Ce 0.000 0.000 6.089
Cl 1.062 -1.062 3.674
Cl 2.284 2.284 -0.611
Cl 1.864 -1.864 6.700
Cl -1.062 1.062 3.674
Cl 3.087 3.087 2.415
Cl 1.864 1.864 5.479
Cl -1.864 1.864 6.700
Cl 1.062 1.062 8.505
```

Summary:
formation energy (no corrections) = -1730 meV/atom
energy relative to the lowest polymorph listed for this composition = 2.3 meV/atom
calculated total energy = -44.4 eV/cell
theoretical density = 2.69 g/cm3
SG = I-42m

Below is crystalline Rb2CeCl7 at its relaxed geometry, with properties calculated at the PBE level.

Structure (extended XYZ):
```
20
Lattice="8.541 -3.882 0.000 8.541 3.882 0.000 -8.358 0.000 10.138" Properties=species:S:1:pos:R:3 pbc="T T T"
Rb 2.320 0.184 0.819
Rb -1.860 -0.184 5.888
Rb 10.584 0.184 4.250
Rb 6.405 -0.184 9.319
Ce 6.452 0.194 2.535
Ce 2.273 -0.194 7.604
Cl 6.452 2.956 2.535
Cl 0.500 1.744 7.902
Cl 4.117 1.567 3.329
Cl 5.641 0.341 0.037
Cl 4.045 1.744 7.305
Cl 1.462 -0.341 5.106
Cl 8.786 1.567 1.740
Cl -0.062 -1.567 8.398
Cl 7.263 0.341 5.032
Cl 4.680 -1.744 2.833
Cl 3.084 -0.341 10.101
Cl 4.607 -1.567 6.809
Cl 8.224 -1.744 2.236
Cl 2.273 -2.956 7.604
```

Summary:
formation energy (no corrections) = -1725 meV/atom
calculated total energy = -76.1 eV/cell
theoretical density = 2.76 g/cm3
SG = C2/c

Below is crystalline RbCeCl4 at its relaxed geometry, with properties calculated at the PBE level.

Structure (extended XYZ):
```
24
Lattice="7.803 0.000 0.000 0.000 4.379 0.000 0.000 0.000 19.771" Properties=species:S:1:pos:R:3 pbc="T T T"
Rb 1.706 1.095 4.023
Rb 2.195 3.284 13.908
Rb 5.608 1.095 5.863
Rb 6.097 3.284 15.749
Ce 1.955 1.095 18.604
Ce 1.947 3.284 8.718
Ce 5.856 1.095 11.053
Ce 5.848 3.284 1.167
Cl 0.045 1.095 1.204
Cl 0.748 1.095 15.982
Cl 0.765 1.095 7.249
Cl 1.109 1.095 10.605
Cl 2.792 3.284 0.719
Cl 3.136 3.284 17.135
Cl 3.153 3.284 6.097
Cl 3.857 3.284 11.089
Cl 3.946 1.095 8.682
Cl 4.650 1.095 13.675
Cl 4.667 1.095 2.636
Cl 5.011 1.095 19.052
Cl 6.693 3.284 9.166
Cl 7.037 3.284 12.522
Cl 7.054 3.284 3.789
Cl 7.758 3.284 18.568
```

Summary:
formation energy (no corrections) = -2140 meV/atom
energy relative to the lowest polymorph listed for this composition = 0.0 meV/atom
calculated total energy = -108.5 eV/cell
theoretical density = 3.61 g/cm3
SG = Pnma

Below is crystalline Rb2CeCl4 at its relaxed geometry, with properties calculated at the PBE level.

Structure (extended XYZ):
```
14
Lattice="5.629 0.000 0.000 0.000 5.629 0.000 0.000 0.000 16.902" Properties=species:S:1:pos:R:3 pbc="T T T"
Rb 0.000 0.000 2.383
Rb 0.000 0.000 14.518
Rb 2.814 2.814 6.068
Rb 2.814 2.814 10.834
Ce 0.000 0.000 8.451
Ce 2.814 2.814 0.000
Cl 0.000 0.000 5.624
Cl 0.000 0.000 11.277
Cl 0.000 2.814 0.000
Cl 0.000 2.814 8.451
Cl 2.814 0.000 0.000
Cl 2.814 0.000 8.451
Cl 2.814 2.814 2.826
Cl 2.814 2.814 14.075
```

Summary:
formation energy (no corrections) = -1861 meV/atom
calculated total energy = -56.6 eV/cell
theoretical density = 2.81 g/cm3
SG = I4/mmm

Below is crystalline Rb2CeCl8 at its relaxed geometry, with properties calculated at the PBE level.

Structure (extended XYZ):
```
11
Lattice="6.369 -4.769 0.000 6.369 4.769 0.000 -3.869 0.000 7.052" Properties=species:S:1:pos:R:3 pbc="T T T"
Rb 1.547 0.000 2.478
Rb 7.322 0.000 4.573
Ce 6.369 0.000 0.000
Cl -1.445 0.000 4.433
Cl 2.483 1.830 5.148
Cl -0.149 0.000 7.049
Cl 6.386 1.830 1.904
Cl 2.483 -1.830 5.148
Cl 9.018 0.000 0.002
Cl 6.386 -1.830 1.904
Cl 10.314 0.000 2.619
```

Summary:
formation energy (no corrections) = -1641 meV/atom
calculated total energy = -40.7 eV/cell
theoretical density = 2.31 g/cm3
SG = C2/m

Below is crystalline RbCe4Cl12 at its relaxed geometry, with properties calculated at the PBE level.

Structure (extended XYZ):
```
17
Lattice="-5.377 5.494 5.498 5.377 -5.494 5.498 5.377 5.494 -5.498" Properties=species:S:1:pos:R:3 pbc="T T T"
Rb 0.000 0.000 0.000
Ce 2.689 2.747 -2.749
Ce 2.689 -2.747 2.749
Ce -2.689 2.747 2.749
Ce 2.689 2.747 2.749
Cl 5.377 -2.193 2.207
Cl 3.338 5.494 -2.759
Cl 2.046 2.733 0.000
Cl 2.039 0.000 2.739
Cl 3.331 -2.761 5.498
Cl 5.377 2.193 2.207
Cl 0.000 3.301 3.291
Cl 2.046 8.255 0.000
Cl 3.338 5.494 2.759
Cl 3.331 2.761 5.498
Cl 2.039 0.000 8.256
Cl 0.000 7.688 3.291
```

Summary:
formation energy (no corrections) = -2142 meV/atom
calculated total energy = -83.3 eV/cell
theoretical density = 2.74 g/cm3
SG = Immm

Q: Look up the formation energy (no corrections) of the first one.
A: -1598 meV/atom

Q: formation energy (no corrections) of number 1 (RbCe2Cl11)?
A: -1598 meV/atom

Q: The highest calculated total energy belongs to which entry?
A: Rb2CeCl8

Q: What is the formula in the seventh record?
A: Rb2CeCl8